DFT (PBE) results for a relaxed structure of Tb2PrAs.

abc: 10.7064 10.7064 10.7064
angles: 20.60 20.60 20.60
Last column: nearest neighbours and their distance in Å.
Atoms (fractional coordinates):
Tb (0.1120, 0.1120, 0.1120)  3 As 2.80
Tb (0.8880, 0.8880, 0.8880)  3 As 2.80
Pr (0.0000, 0.0000, 0.0000)  2 Tb 3.52, 6 Pr 3.83
As (0.5000, 0.5000, 0.5000)  6 Tb 2.80

Properties
Formation energy (eV/atom): -0.4402
Mass density (g/cm³): 6.66
Total moment (Bohr magnetons per cell): 0.914
N(E_F) (states/eV per cell): 4.62